## SmB4Ru4 (SCAN)

Data for a crystal of SmB4Ru4 relaxed with PBEsol.

a = 7.4416 Å, b = 7.4416 Å, c = 9.1402 Å
α = 114.02°, β = 114.02°, γ = 90.00°
Fractional coordinates of all 36 atoms:
Sm (0.7500, 0.7500, 0.5000)
Sm (0.2500, 0.2500, 0.5000)
Sm (0.5000, 0.0000, 0.0000)
Sm (0.0000, 0.5000, 0.0000)
B (0.7752, 0.0855, 0.8369)
B (0.2752, 0.2514, 0.8369)
B (0.8355, 0.0252, 0.3369)
B (0.3355, 0.8117, 0.3369)
B (0.4748, 0.6645, 0.6631)
B (0.9748, 0.4986, 0.6631)
B (0.4145, 0.7248, 0.1631)
B (0.9145, 0.9383, 0.1631)
B (0.5617, 0.5855, 0.8369)
B (0.0617, 0.7514, 0.8369)
B (0.0014, 0.5252, 0.3369)
B (0.5014, 0.3117, 0.3369)
B (0.6883, 0.1645, 0.6631)
B (0.1883, 0.9986, 0.6631)
B (0.2486, 0.2248, 0.1631)
B (0.7486, 0.4383, 0.1631)
Ru (0.4575, 0.9278, 0.6234)
Ru (0.9575, 0.1956, 0.6234)
Ru (0.6778, 0.7075, 0.1234)
Ru (0.1778, 0.9159, 0.1234)
Ru (0.7925, 0.8222, 0.8766)
Ru (0.2925, 0.5544, 0.8766)
Ru (0.5722, 0.0425, 0.3766)
Ru (0.0722, 0.8341, 0.3766)
Ru (0.6659, 0.4278, 0.6234)
Ru (0.1659, 0.6956, 0.6234)
Ru (0.9456, 0.2075, 0.1234)
Ru (0.4456, 0.4159, 0.1234)
Ru (0.5841, 0.3222, 0.8766)
Ru (0.0841, 0.0544, 0.8766)
Ru (0.3044, 0.5425, 0.3766)
Ru (0.8044, 0.3341, 0.3766)

Computed properties:
For the formation energy, the calculation gives -0.534 eV per atom.